Density functional theory data (PBE) for an optimized crystal structure of SbMo2I.

Summary:
Formation energy from raw total energies ... 1.28 eV/atom
V ... 229.8 Å³/cell
Uncorrected energy ... -5.5519 eV per atom
Total magnetization ... 0.67 μB per atom

Cell lengths 6.277, 6.277, 7.329 Å; angles 64.65, 64.65, 90.00 degrees
Fractional coordinates of all 8 atoms:
I 0.000 0.000 0.000
I 0.750 0.250 0.500
Sb 0.500 0.500 0.000
Sb 0.250 0.750 0.500
Mo 0.627 0.125 0.250
Mo 0.123 0.625 0.250
Mo 0.375 0.373 0.750
Mo 0.875 0.877 0.750